(1)
VASP calculation (meta-GGA SCAN) on V4ZnCu3O14 at its PBEsol-relaxed geometry.

```
data_V4ZnCu3O14
_cell_length_a 5.5039
_cell_length_b 5.5839
_cell_length_c 10.0849
_cell_angle_alpha 104.00
_cell_angle_beta 103.25
_cell_angle_gamma 92.09
_symmetry_space_group_name_H-M 'P 1'
_symmetry_Int_Tables_number 1
loop_
_symmetry_equiv_pos_as_xyz
'x,y,z'
loop_
_atom_site_label
_atom_site_type_symbol
_atom_site_fract_x
_atom_site_fract_y
_atom_site_fract_z
V1 V 0.0000 0.0000 0.0000
V2 V 0.0012 0.1011 0.4251
V3 V 0.4609 0.5520 0.5017
V4 V 0.5611 0.5536 0.9282
Zn1 Zn 0.4191 0.8231 0.2370
Cu1 Cu 0.2448 0.9344 0.7293
Cu2 Cu 0.6184 0.3222 0.1997
Cu3 Cu 0.7709 0.1746 0.7014
O1 O 0.0101 0.0618 0.8385
O2 O 0.1514 0.3992 0.4547
O3 O 0.1599 0.8938 0.3426
O4 O 0.2862 0.0430 0.1117
O5 O 0.3750 0.7355 0.8512
O6 O 0.4669 0.8382 0.6103
O7 O 0.4826 0.5441 0.0860
O8 O 0.5385 0.2678 0.8154
O9 O 0.5494 0.5736 0.3501
O10 O 0.6501 0.3786 0.5836
O11 O 0.7060 0.0896 0.3163
O12 O 0.8113 0.1836 0.0743
O13 O 0.8751 0.6868 0.9691
O14 O 0.9983 0.0397 0.5865
```

Output
Total DFT energy (no corrections) (eV for the cell shown): -260.16

=====

(2)
VASP calculation (meta-GGA SCAN) on ReRuAu2 at its PBEsol-relaxed geometry.

```
data_ReRuAu2
_cell_length_a 6.2558
_cell_length_b 6.2558
_cell_length_c 6.2558
_cell_angle_alpha 90.00
_cell_angle_beta 90.00
_cell_angle_gamma 90.00
_symmetry_space_group_name_H-M 'F m -3 m'
_symmetry_Int_Tables_number 225
_symmetry_space_group_name_Hall '-F 4 2 3'
loop_
_atom_site_label
_atom_site_type_symbol
_atom_site_fract_x
_atom_site_fract_y
_atom_site_fract_z
Re1 Re 0.0000 0.0000 0.0000
Ru1 Ru 0.0000 0.0000 0.5000
Au1 Au 0.2500 0.2500 0.2500
```

Output
Total DFT energy (no corrections) (eV for the cell shown): -965.78
Formation enthalpy at 0 K (eV per atom): 0.6979
Energy above the lowest structure with this stoichiometry (eV/atom): 0.226
DOS at the Fermi energy (states/eV/atom): 0.5780

=====

(3)
VASP calculation (meta-GGA SCAN) on LaTcAs at its PBEsol-relaxed geometry.

```
data_LaTcAs
_cell_length_a 6.5091
_cell_length_b 6.5091
_cell_length_c 6.5091
_cell_angle_alpha 90.00
_cell_angle_beta 90.00
_cell_angle_gamma 90.00
_symmetry_space_group_name_H-M 'F -4 3 m'
_symmetry_Int_Tables_number 216
_symmetry_space_group_name_Hall 'F -4 2 3'
loop_
_atom_site_label
_atom_site_type_symbol
_atom_site_fract_x
_atom_site_fract_y
_atom_site_fract_z
La1 La 0.0000 0.0000 0.0000
Tc1 Tc 0.0000 0.0000 0.5000
As1 As 0.2500 0.2500 0.7500
```

Output
Total DFT energy (no corrections) (eV for the cell shown): -394.61
Formation enthalpy at 0 K (eV per atom): -0.0988
Energy above the lowest structure with this stoichiometry (eV/atom): 0.000
DOS at the Fermi energy (states/eV/atom): 0.9664

=====

(4)
VASP calculation (meta-GGA SCAN) on NbNi2Au at its PBEsol-relaxed geometry.

```
data_NbNi2Au
_cell_length_a 6.0136
_cell_length_b 6.0136
_cell_length_c 6.0136
_cell_angle_alpha 90.00
_cell_angle_beta 90.00
_cell_angle_gamma 90.00
_symmetry_space_group_name_H-M 'F m -3 m'
_symmetry_Int_Tables_number 225
_symmetry_space_group_name_Hall '-F 4 2 3'
loop_
_atom_site_label
_atom_site_type_symbol
_atom_site_fract_x
_atom_site_fract_y
_atom_site_fract_z
Nb1 Nb 0.0000 0.0000 0.0000
Ni1 Ni 0.2500 0.2500 0.2500
Au1 Au 0.0000 0.0000 0.5000
```

Output
Total DFT energy (no corrections) (eV for the cell shown): -541.26
Formation enthalpy at 0 K (eV per atom): -0.1705
DOS at the Fermi energy (states/eV/atom): 1.0150

=====

(5)
VASP calculation (meta-GGA SCAN) on TcHg3H at its PBEsol-relaxed geometry.

```
data_TcHg3H
_cell_length_a 4.2782
_cell_length_b 4.2782
_cell_length_c 4.2782
_cell_angle_alpha 90.00
_cell_angle_beta 90.00
_cell_angle_gamma 90.00
_symmetry_space_group_name_H-M 'P m -3 m'
_symmetry_Int_Tables_number 221
_symmetry_space_group_name_Hall '-P 4 2 3'
loop_
_atom_site_label
_atom_site_type_symbol
_atom_site_fract_x
_atom_site_fract_y
_atom_site_fract_z
Tc1 Tc 0.0000 0.0000 0.0000
Hg1 Hg 0.0000 0.5000 0.5000
H1 H 0.5000 0.5000 0.5000
```

Output
Total DFT energy (no corrections) (eV for the cell shown): -238.69
Energy above the lowest structure with this stoichiometry (eV/atom): 0.000
DOS at the Fermi energy (states/eV/atom): 0.3975

=====

(6)
VASP calculation (meta-GGA SCAN) on CdAgMo at its PBEsol-relaxed geometry.

```
data_CdAgMo
_cell_length_a 2.7462
_cell_length_b 2.7462
_cell_length_c 13.2943
_cell_angle_alpha 90.00
_cell_angle_beta 90.00
_cell_angle_gamma 90.00
_symmetry_space_group_name_H-M 'I 4 m m'
_symmetry_Int_Tables_number 107
_symmetry_space_group_name_Hall 'I 4 -2'
loop_
_atom_site_label
_atom_site_type_symbol
_atom_site_fract_x
_atom_site_fract_y
_atom_site_fract_z
Cd1 Cd 0.0000 0.0000 0.0000
Ag1 Ag 0.0000 0.0000 0.6702
Mo1 Mo 0.0000 0.0000 0.3311
```

Output
Total DFT energy (no corrections) (eV for the cell shown): -191.21
Formation enthalpy at 0 K (eV per atom): 0.3534
Energy above the lowest structure with this stoichiometry (eV/atom): 0.000
DOS at the Fermi energy (states/eV/atom): 0.5848

=====

(7)
VASP calculation (meta-GGA SCAN) on Zr3TlIr at its PBEsol-relaxed geometry.

```
data_Zr3TlIr
_cell_length_a 5.1212
_cell_length_b 5.1212
_cell_length_c 5.1212
_cell_angle_alpha 90.00
_cell_angle_beta 90.00
_cell_angle_gamma 90.00
_symmetry_space_group_name_H-M 'P m -3 m'
_symmetry_Int_Tables_number 221
_symmetry_space_group_name_Hall '-P 4 2 3'
loop_
_atom_site_label
_atom_site_type_symbol
_atom_site_fract_x
_atom_site_fract_y
_atom_site_fract_z
Zr1 Zr 0.0000 0.0000 0.5000
Tl1 Tl 0.0000 0.0000 0.0000
Ir1 Ir 0.5000 0.5000 0.5000
```

Output
Total DFT energy (no corrections) (eV for the cell shown): -228.32
Formation enthalpy at 0 K (eV per atom): 1.4464
DOS at the Fermi energy (states/eV/atom): 1.4533

=====

(8)
VASP calculation (meta-GGA SCAN) on Ti3AlO6 at its PBEsol-relaxed geometry.

```
data_Ti3AlO6
_cell_length_a 5.8615
_cell_length_b 5.8615
_cell_length_c 14.4234
_cell_angle_alpha 90.00
_cell_angle_beta 90.00
_cell_angle_gamma 120.00
_symmetry_space_group_name_H-M 'P -3 m 1'
_symmetry_Int_Tables_number 164
_symmetry_space_group_name_Hall '-P 3 2"'
loop_
_atom_site_label
_atom_site_type_symbol
_atom_site_fract_x
_atom_site_fract_y
_atom_site_fract_z
Ti1 Ti 0.0000 0.0000 0.0000
Ti2 Ti 0.0000 0.5000 0.5000
Ti3 Ti 0.1590 0.3179 0.1636
Ti4 Ti 0.3333 0.6667 0.3203
Al1 Al 0.0000 0.0000 0.3756
Al2 Al 0.3333 0.6667 0.9607
O1 O 0.0000 0.0000 0.2535
O2 O 0.0356 0.5178 0.2405
O3 O 0.1676 0.3353 0.4161
O4 O 0.1695 0.3390 0.9203
O5 O 0.3333 0.6667 0.0836
O6 O 0.3333 0.6667 0.5667
```

Output
Total DFT energy (no corrections) (eV for the cell shown): -497.75
DOS at the Fermi energy (states/eV/atom): 0.3957

=====

(9)
VASP calculation (meta-GGA SCAN) on TcAuSe2N at its PBEsol-relaxed geometry.

```
data_TcAuSe2N
_cell_length_a 4.9443
_cell_length_b 4.9443
_cell_length_c 3.6359
_cell_angle_alpha 90.00
_cell_angle_beta 90.00
_cell_angle_gamma 90.00
_symmetry_space_group_name_H-M 'P 4/m m m'
_symmetry_Int_Tables_number 123
_symmetry_space_group_name_Hall '-P 4 2'
loop_
_atom_site_label
_atom_site_type_symbol
_atom_site_fract_x
_atom_site_fract_y
_atom_site_fract_z
Tc1 Tc 0.0000 0.0000 0.0000
Au1 Au 0.5000 0.5000 0.5000
Se1 Se 0.0000 0.5000 0.0000
N1 N 0.0000 0.0000 0.5000
```

Output
Total DFT energy (no corrections) (eV for the cell shown): -151.53
Energy above the lowest structure with this stoichiometry (eV/atom): 0.000
DOS at the Fermi energy (states/eV/atom): 0.6049

=====

(10)
VASP calculation (meta-GGA SCAN) on CuSi2Hg at its PBEsol-relaxed geometry.

```
data_CuSi2Hg
_cell_length_a 2.7689
_cell_length_b 2.7689
_cell_length_c 29.7490
_cell_angle_alpha 90.00
_cell_angle_beta 90.00
_cell_angle_gamma 120.00
_symmetry_space_group_name_H-M 'R -3 m'
_symmetry_Int_Tables_number 166
_symmetry_space_group_name_Hall '-R 3 2"'
loop_
_atom_site_label
_atom_site_type_symbol
_atom_site_fract_x
_atom_site_fract_y
_atom_site_fract_z
Cu1 Cu 0.0000 0.0000 0.0000
Si1 Si 0.0000 0.0000 0.2672
Hg1 Hg 0.0000 0.0000 0.5000
```

Output
Total DFT energy (no corrections) (eV for the cell shown): -304.76
DOS at the Fermi energy (states/eV/atom): 0.3408

=====

(11)
VASP calculation (meta-GGA SCAN) on AlZn2 at its PBEsol-relaxed geometry.

```
data_AlZn2
_cell_length_a 2.9306
_cell_length_b 3.8658
_cell_length_c 7.9431
_cell_angle_alpha 90.00
_cell_angle_beta 90.00
_cell_angle_gamma 90.00
_symmetry_space_group_name_H-M 'I m m m'
_symmetry_Int_Tables_number 71
_symmetry_space_group_name_Hall '-I 2 2'
loop_
_atom_site_label
_atom_site_type_symbol
_atom_site_fract_x
_atom_site_fract_y
_atom_site_fract_z
Al1 Al 0.0000 0.0000 0.0000
Zn1 Zn 0.0000 0.0000 0.3331
```

Output
Total DFT energy (no corrections) (eV for the cell shown): -69.53
Formation enthalpy at 0 K (eV per atom): 0.0055
DOS at the Fermi energy (states/eV/atom): 0.2910

=====

(12)
VASP calculation (meta-GGA SCAN) on BeAl2Ni at its PBEsol-relaxed geometry.

```
data_BeAl2Ni
_cell_length_a 2.9662
_cell_length_b 2.9662
_cell_length_c 5.3422
_cell_angle_alpha 90.00
_cell_angle_beta 90.00
_cell_angle_gamma 90.00
_symmetry_space_group_name_H-M 'P 4/m m m'
_symmetry_Int_Tables_number 123
_symmetry_space_group_name_Hall '-P 4 2'
loop_
_atom_site_label
_atom_site_type_symbol
_atom_site_fract_x
_atom_site_fract_y
_atom_site_fract_z
Be1 Be 0.0000 0.0000 0.0000
Al1 Al 0.5000 0.5000 0.2504
Ni1 Ni 0.0000 0.0000 0.5000
```

Output
Total DFT energy (no corrections) (eV for the cell shown): -37.23
Formation enthalpy at 0 K (eV per atom): -0.2997
DOS at the Fermi energy (states/eV/atom): 0.2522